Record 1
The following is a PBE-GGA calculation of TmSnTeAuS2 after structural relaxation, from the Open Quantum Materials Database.

## Properties
Spin magnetization in μB per formula unit: 0.0
Symmetry: Cmcm, No. 63

Lattice parameters (Å, degrees): 7.1975 7.1975 11.2373 90.00 90.00 147.29
Element x y z (fractional)
Tm 0.0000 0.0000 0.0000
Tm 0.0000 0.0000 0.5000
Sn 0.2367 0.7633 0.7500
Sn 0.7633 0.2367 0.2500
Te 0.0983 0.9017 0.2500
Te 0.9017 0.0983 0.7500
Au 0.4283 0.5717 0.2500
Au 0.5717 0.4283 0.7500
S 0.3741 0.6259 0.0467
S 0.3741 0.6259 0.4533
S 0.6259 0.3741 0.5467
S 0.6259 0.3741 0.9533

---

Record 2
The following is a PBE-GGA calculation of YSnTe2AuS after structural relaxation, from the Open Quantum Materials Database.

## Properties
Spin magnetization in μB per formula unit: 0.0
Symmetry: Cmcm, No. 63

Lattice parameters (Å, degrees): 7.5946 7.5946 10.2916 90.00 90.00 147.33
Element x y z (fractional)
Y 0.0000 0.0000 0.0000
Y 0.0000 0.0000 0.5000
Sn 0.2757 0.7243 0.7500
Sn 0.7243 0.2757 0.2500
Te 0.3473 0.6527 0.0576
Te 0.3473 0.6527 0.4424
Te 0.6527 0.3473 0.5576
Te 0.6527 0.3473 0.9424
Au 0.4796 0.5204 0.2500
Au 0.5204 0.4796 0.7500
S 0.0825 0.9175 0.2500
S 0.9175 0.0825 0.7500

---

Record 3
The following is a PBE-GGA calculation of TlSnAuS3 after structural relaxation, from the Open Quantum Materials Database.

## Properties
ΔE to the lowest computed polymorph in eV per atom: 0.025
Symmetry: Pnma, No. 62

Lattice parameters (Å, degrees): 13.7051 3.9339 10.8851 90.00 90.00 90.00
Element x y z (fractional)
Tl 0.1563 0.2500 0.0109
Tl 0.3437 0.7500 0.5109
Tl 0.6563 0.2500 0.4891
Tl 0.8437 0.7500 0.9891
Sn 0.0387 0.7500 0.3569
Sn 0.4613 0.2500 0.8569
Sn 0.5387 0.7500 0.1431
Sn 0.9613 0.2500 0.6431
Au 0.1985 0.7500 0.7687
Au 0.3015 0.2500 0.2687
Au 0.6985 0.7500 0.7313
Au 0.8015 0.2500 0.2313
S 0.0266 0.7500 0.7833
S 0.1095 0.2500 0.4991
S 0.1948 0.7500 0.2331
S 0.3052 0.2500 0.7331
S 0.3905 0.7500 0.9991
S 0.4734 0.2500 0.2833
S 0.5266 0.7500 0.7167
S 0.6095 0.2500 0.0009
S 0.6948 0.7500 0.2669
S 0.8052 0.2500 0.7669
S 0.8905 0.7500 0.5009
S 0.9734 0.2500 0.2167

---

Record 4
The following is a PBE-GGA calculation of TlSnAu3S4 after structural relaxation, from the Open Quantum Materials Database.

## Properties
ΔE to the lowest computed polymorph in eV per atom: 0.158
Symmetry: P-43m, No. 215

Lattice parameters (Å, degrees): 6.2840 6.2840 6.2840 90.00 90.00 90.00
Element x y z (fractional)
Tl 0.0000 0.0000 0.0000
Sn 0.5000 0.5000 0.5000
Au 0.0000 0.5000 0.5000
Au 0.5000 0.0000 0.5000
Au 0.5000 0.5000 0.0000
S 0.2734 0.2734 0.2734
S 0.2734 0.7266 0.7266
S 0.7266 0.2734 0.7266
S 0.7266 0.7266 0.2734

---

Number 1: total DFT energy (no corrections) -0.17093 Ha/atom. Number 2: total DFT energy (no corrections) -0.17470 Ha/atom. Number 3: total DFT energy (no corrections) -0.14482 Ha/atom. Number 4: total DFT energy (no corrections) -0.13125 Ha/atom.